Entry 1:
Computed, not measured: a relaxed structure of ZrTiAs2 at the GGA-PBE level of DFT.

a = 6.7684 Å, b = 6.7684 Å, c = 6.7684 Å
α = 31.84°, β = 31.84°, γ = 31.84°
Positions (direct):
Zr 0.0000 0.0000 0.0000
Ti 0.8231 0.8231 0.8231
As 0.4170 0.4170 0.4170
As 0.5748 0.5748 0.5748

The magnetic moment comes out at 0.00 μB per cell. Its space group is R3m, No. 160. The distance to the lowest polymorph of the same formula is 0.0 meV per atom. As for the energy relative to the elements: -3.874 eV per formula unit.

***

Entry 2:
Computed, not measured: a relaxed structure of CaScNi2 at the GGA-PBE level of DFT.

a = 4.5538 Å, b = 4.5538 Å, c = 4.5538 Å
α = 60.00°, β = 60.00°, γ = 60.00°
Positions (direct):
Ca 0.0000 0.0000 0.0000
Sc 0.2500 0.2500 0.2500
Ni 0.5000 0.5000 0.5000
Ni 0.7500 0.7500 0.7500

The magnetic moment comes out at 0.00 μB per cell. Its space group is F-43m, No. 216. The distance to the lowest polymorph of the same formula is 421.6 meV per atom. As for the energy relative to the elements: 0.568 eV per formula unit.

***

Entry 3:
Computed, not measured: a relaxed structure of Er3Hg2Ir at the GGA-PBE level of DFT.

a = 7.9265 Å, b = 7.9265 Å, c = 7.3539 Å
α = 90.00°, β = 90.00°, γ = 143.01°
Positions (direct):
Er 0.0000 0.0000 0.2350
Er 0.0000 0.0000 0.7650
Er 0.3262 0.6738 0.2257
Er 0.3262 0.6738 0.7743
Er 0.6738 0.3262 0.2257
Er 0.6738 0.3262 0.7743
Hg 0.1650 0.8350 0.5000
Hg 0.5000 0.5000 0.0000
Hg 0.5000 0.5000 0.5000
Hg 0.8350 0.1650 0.5000
Ir 0.1613 0.8387 0.0000
Ir 0.8387 0.1613 0.0000

The magnetic moment comes out at 0.00 μB per cell. Its space group is Cmmm, No. 65. The distance to the lowest polymorph of the same formula is 0.0 meV per atom. As for the energy relative to the elements: -3.843 eV per formula unit.

***

Entry 4:
Computed, not measured: a relaxed structure of Hf3ScAu at the GGA-PBE level of DFT.

a = 4.9360 Å, b = 4.9360 Å, c = 4.9360 Å
α = 90.00°, β = 90.00°, γ = 90.00°
Positions (direct):
Hf 0.0000 0.0000 0.5000
Hf 0.0000 0.5000 0.0000
Hf 0.5000 0.0000 0.0000
Sc 0.0000 0.0000 0.0000
Au 0.5000 0.5000 0.5000

The magnetic moment comes out at 0.00 μB per cell. Its space group is Pm-3m, No. 221. The distance to the lowest polymorph of the same formula is 608.4 meV per atom. As for the energy relative to the elements: 6.147 eV per formula unit.

***

Entry 5:
Computed, not measured: a relaxed structure of TmGeRh2 at the GGA-PBE level of DFT.

a = 3.3133 Å, b = 3.3133 Å, c = 6.1092 Å
α = 90.00°, β = 90.00°, γ = 90.00°
Positions (direct):
Tm 0.0000 0.0000 0.0000
Ge 0.0000 0.0000 0.5000
Rh 0.5000 0.5000 0.2745
Rh 0.5000 0.5000 0.7255

The magnetic moment comes out at 0.00 μB per cell. Its space group is P4/mmm, No. 123. As for the energy relative to the elements: -2.720 eV per formula unit.

***

Entry 6:
Computed, not measured: a relaxed structure of PbAu2Br at the GGA-PBE level of DFT.

a = 3.6268 Å, b = 3.6268 Å, c = 7.2779 Å
α = 90.00°, β = 90.00°, γ = 90.00°
Positions (direct):
Pb 0.0000 0.0000 0.0000
Au 0.5000 0.5000 0.2392
Au 0.5000 0.5000 0.7608
Br 0.0000 0.0000 0.5000

The magnetic moment comes out at 0.00 μB per cell. Its space group is P4/mmm, No. 123. The value obtained for the formation energy from raw total energies is 14 kJ/mol of atoms. The distance to the lowest polymorph of the same formula is 267.9 meV per atom.

***

Entry 7:
Computed, not measured: a relaxed structure of SmEr3Os at the GGA-PBE level of DFT.

a = 5.3923 Å, b = 5.3923 Å, c = 5.3923 Å
α = 90.00°, β = 90.00°, γ = 90.00°
Positions (direct):
Sm 0.0000 0.0000 0.0000
Er 0.0000 0.5000 0.5000
Er 0.5000 0.0000 0.5000
Er 0.5000 0.5000 0.0000
Os 0.5000 0.5000 0.5000

The magnetic moment comes out at 0.00 μB per cell. Its space group is Pm-3m, No. 221. The distance to the lowest polymorph of the same formula is 104.9 meV per atom. As for the energy relative to the elements: -0.073 eV per formula unit.

***

Entry 8:
Computed, not measured: a relaxed structure of Sm4AuSe2Cl at the GGA-PBE level of DFT.

a = 7.2797 Å, b = 4.0662 Å, c = 7.3887 Å
α = 90.00°, β = 108.08°, γ = 90.00°
Positions (direct):
Sm 0.2389 0.0000 0.2400
Sm 0.2447 0.5000 0.7470
Sm 0.7553 0.5000 0.2530
Sm 0.7611 0.0000 0.7600
Au 0.0000 0.0000 0.5000
Se 0.0000 0.5000 0.0000
Se 0.5000 0.0000 0.0000
Cl 0.5000 0.5000 0.5000

The magnetic moment comes out at 0.00 μB per cell. Its space group is P2/m, No. 10. The value obtained for the formation energy from raw total energies is -140 kJ/mol of atoms.

***

| no. | E (eV per atom) |
| --- | --- |
| 1 | -7.40 |
| 2 | -4.83 |
| 3 | -4.50 |
| 4 | -6.66 |
| 5 | -6.63 |
| 6 | -2.84 |
| 7 | -5.94 |
| 8 | -5.32 |